Record 1
# CePr3Mg2

CePr3Mg2 after structural relaxation (PBE-GGA, Alexandria).

Lattice parameters (Å, degrees): 3.688 3.688 13.542 90.00 90.00 90.00
Fractional positions:
Ce 0.000 0.000 0.000
Pr 0.500 0.500 0.175
Pr 0.500 0.500 0.500
Pr 0.500 0.500 0.825
Mg 0.000 0.000 0.339
Mg 0.000 0.000 0.661

Output
SG: No. 123
D(E_F): 8.27 states/eV per cell
Uncorrected energy: -3.94 eV/atom
DFT formation energy: -0.03 eV per atom

Record 2
# GePbBr4

GePbBr4 after structural relaxation (PBE-GGA, Alexandria).

Lattice parameters (Å, degrees): 6.908 4.251 7.455 90.00 90.30 90.00
Fractional positions:
Ge 0.000 0.000 0.000
Pb 0.000 0.500 0.500
Br 0.231 0.500 0.149
Br 0.243 0.000 0.691
Br 0.757 0.000 0.309
Br 0.769 0.500 0.851

Output
SG: No. 10
D(E_F): 0.00 states/eV per cell
Energy relative to the elements, uncorrected: -4.3 eV per formula unit
Uncorrected energy: -3.23 eV/atom
Offset from the most stable computed form: 0.0 kJ per mole of atoms

Record 3
# Cs4Tl3Sb2

Cs4Tl3Sb2 after structural relaxation (PBE-GGA, Alexandria).

Lattice parameters (Å, degrees): 11.166 11.166 8.609 105.71 105.71 25.83
Fractional positions:
Cs 0.063 0.063 0.362
Cs 0.263 0.263 0.788
Cs 0.737 0.737 0.212
Cs 0.937 0.937 0.638
Tl 0.405 0.405 0.261
Tl 0.500 0.500 0.000
Tl 0.595 0.595 0.739
Sb 0.116 0.116 0.962
Sb 0.884 0.884 0.038

Output
SG: No. 12
D(E_F): 4.91 states/eV per cell
Energy relative to the elements, uncorrected: -2.1 eV per formula unit
Uncorrected energy: -2.32 eV/atom

Record 4
# TlSn2Hg3

TlSn2Hg3 after structural relaxation (PBE-GGA, Alexandria).

Lattice parameters (Å, degrees): 4.758 6.257 11.877 91.14 90.46 108.51
Fractional positions:
Tl 0.193 0.461 0.247
Tl 0.807 0.539 0.753
Sn 0.115 0.138 0.894
Sn 0.323 0.680 0.532
Sn 0.677 0.320 0.468
Sn 0.885 0.862 0.106
Hg 0.116 0.154 0.611
Hg 0.319 0.669 0.958
Hg 0.463 0.042 0.251
Hg 0.537 0.958 0.749
Hg 0.681 0.331 0.042
Hg 0.884 0.846 0.389

Output
SG: No. 2
D(E_F): 4.77 states/eV per cell
Uncorrected energy: -1.83 eV/atom
DFT formation energy: 0.05 eV per atom
Offset from the most stable computed form: 0.0 kJ per mole of atoms

Record 5
# TbPmO2

TbPmO2 after structural relaxation (PBE-GGA, Alexandria).

Lattice parameters (Å, degrees): 7.011 7.011 7.011 30.06 30.06 30.06
Fractional positions:
Tb 0.000 0.000 0.000
Pm 0.500 0.500 0.500
O 0.386 0.386 0.386
O 0.614 0.614 0.614

Output
SG: No. 166
D(E_F): 0.65 states/eV per cell
Energy relative to the elements, uncorrected: -11.4 eV per formula unit
Uncorrected energy: -7.66 eV/atom
Offset from the most stable computed form: 0.0 kJ per mole of atoms

Record 6
# AcTm2AgHg4

AcTm2AgHg4 after structural relaxation (PBE-GGA, Alexandria).

Lattice parameters (Å, degrees): 10.060 10.060 10.060 29.03 29.03 29.03
Fractional positions:
Ac 0.000 0.000 0.000
Tm 0.232 0.232 0.232
Tm 0.768 0.768 0.768
Ag 0.500 0.500 0.500
Hg 0.125 0.125 0.125
Hg 0.393 0.393 0.393
Hg 0.607 0.607 0.607
Hg 0.875 0.875 0.875

Output
SG: No. 166
D(E_F): 6.47 states/eV per cell
Uncorrected energy: -2.49 eV/atom
DFT formation energy: -0.35 eV per atom

Record 7
# Tl2InCo

Tl2InCo after structural relaxation (PBE-GGA, Alexandria).

Lattice parameters (Å, degrees): 5.082 5.082 5.082 60.00 60.00 60.00
Fractional positions:
Tl 0.000 0.000 0.000
Tl 0.250 0.250 0.250
In 0.750 0.750 0.750
Co 0.500 0.500 0.500

Output
SG: No. 216
D(E_F): 5.87 states/eV per cell
Uncorrected energy: -3.06 eV/atom
DFT formation energy: 0.58 eV per atom
Offset from the most stable computed form: 34.5 kJ per mole of atoms

Record 8
# Mg2TaFeHg

Mg2TaFeHg after structural relaxation (PBE-GGA, Alexandria).

Lattice parameters (Å, degrees): 4.555 4.555 4.868 90.00 90.00 90.00
Fractional positions:
Mg 0.000 0.500 0.000
Mg 0.500 0.000 0.000
Ta 0.000 0.000 0.500
Fe 0.500 0.500 0.000
Hg 0.500 0.500 0.500

Output
SG: No. 123
D(E_F): 6.85 states/eV per cell
Uncorrected energy: -3.55 eV/atom
DFT formation energy: 1.21 eV per atom

Record 9
# Sb2Au

Sb2Au after structural relaxation (PBE-GGA, Alexandria).

Lattice parameters (Å, degrees): 4.479 4.479 4.033 90.00 90.00 90.00
Fractional positions:
Sb 0.000 0.500 0.000
Sb 0.500 0.000 0.000
Au 0.000 0.000 0.500

Output
SG: No. 123
D(E_F): 1.64 states/eV per cell
Energy relative to the elements, uncorrected: 0.3 eV per formula unit
Uncorrected energy: -3.75 eV/atom

Record 10
# ScSiSb2Ru

ScSiSb2Ru after structural relaxation (PBE-GGA, Alexandria).

Lattice parameters (Å, degrees): 5.338 5.338 4.928 90.00 90.00 90.00
Fractional positions:
Sc 0.000 0.000 0.000
Si 0.000 0.000 0.500
Sb 0.000 0.500 0.000
Sb 0.500 0.000 0.000
Ru 0.500 0.500 0.500

Output
SG: No. 123
D(E_F): 5.00 states/eV per cell
Energy relative to the elements, uncorrected: 5.8 eV per formula unit
Uncorrected energy: -4.70 eV/atom

Record 11
# KSr2Tc

KSr2Tc after structural relaxation (PBE-GGA, Alexandria).

Lattice parameters (Å, degrees): 6.717 6.717 6.717 135.25 135.25 65.14
Fractional positions:
K 0.000 0.000 0.000
Sr 0.250 0.750 0.500
Sr 0.500 0.500 0.000
Tc 0.750 0.250 0.500

Output
SG: No. 119
D(E_F): 6.43 states/eV per cell
Uncorrected energy: -2.71 eV/atom
DFT formation energy: 1.00 eV per atom
Offset from the most stable computed form: 36.8 kJ per mole of atoms

Record 12
# Ce3GeSb2

Ce3GeSb2 after structural relaxation (PBE-GGA, Alexandria).

Lattice parameters (Å, degrees): 7.639 7.639 7.628 99.60 99.60 119.89
Fractional positions:
Ce 0.000 0.500 0.000
Ce 0.154 0.311 0.496
Ce 0.311 0.154 0.996
Ce 0.500 0.000 0.500
Ce 0.689 0.846 0.004
Ce 0.846 0.689 0.504
Ge 0.088 0.912 0.250
Ge 0.912 0.088 0.750
Sb 0.256 0.744 0.750
Sb 0.418 0.582 0.250
Sb 0.582 0.418 0.750
Sb 0.744 0.256 0.250

Output
SG: No. 15
D(E_F): 28.26 states/eV per cell
Energy relative to the elements, uncorrected: -5.4 eV per formula unit
Uncorrected energy: -6.02 eV/atom
Offset from the most stable computed form: 0.5 kJ per mole of atoms

Record 13
# CdNi4

CdNi4 after structural relaxation (PBE-GGA, Alexandria).

Lattice parameters (Å, degrees): 4.535 4.535 4.535 99.39 99.39 132.35
Fractional positions:
Cd 0.000 0.000 0.000
Ni 0.187 0.408 0.595
Ni 0.408 0.813 0.220
Ni 0.592 0.187 0.780
Ni 0.813 0.592 0.405

Output
SG: No. 87
D(E_F): 7.87 states/eV per cell
Uncorrected energy: -4.70 eV/atom
DFT formation energy: 0.11 eV per atom
Offset from the most stable computed form: 0.0 kJ per mole of atoms

Record 14
# FeAuCl2

FeAuCl2 after structural relaxation (PBE-GGA, Alexandria).

Lattice parameters (Å, degrees): 5.917 5.917 7.082 121.72 121.72 30.03
Fractional positions:
Fe 0.000 0.000 0.000
Au 0.716 0.716 0.109
Cl 0.368 0.368 0.705
Cl 0.471 0.471 0.238

Output
SG: No. 8
D(E_F): 1.48 states/eV per cell
Energy relative to the elements, uncorrected: -0.8 eV per formula unit
Uncorrected energy: -4.06 eV/atom
Offset from the most stable computed form: 2.6 kJ per mole of atoms

Record 15
# Ho2GaRu3

Ho2GaRu3 after structural relaxation (PBE-GGA, Alexandria).

Lattice parameters (Å, degrees): 5.237 5.237 5.237 62.66 62.66 62.66
Fractional positions:
Ho 0.125 0.125 0.125
Ho 0.875 0.875 0.875
Ga 0.500 0.500 0.500
Ru 0.000 0.500 0.500
Ru 0.500 0.000 0.500
Ru 0.500 0.500 0.000

Output
SG: No. 166
D(E_F): 6.25 states/eV per cell
Uncorrected energy: -7.11 eV/atom
DFT formation energy: -0.44 eV per atom

Record 16
# Tb4Dy2Hg

Tb4Dy2Hg after structural relaxation (PBE-GGA, Alexandria).

Lattice parameters (Å, degrees): 8.384 8.384 8.425 116.86 116.86 24.26
Fractional positions:
Tb 0.082 0.082 0.203
Tb 0.371 0.371 0.110
Tb 0.629 0.629 0.890
Tb 0.918 0.918 0.797
Dy 0.217 0.217 0.640
Dy 0.783 0.783 0.360
Hg 0.000 0.000 0.500

Output
SG: No. 12
D(E_F): 9.05 states/eV per cell
Uncorrected energy: -4.01 eV/atom
DFT formation energy: 0.00 eV per atom

Record 17
# CaPr2In2Hg2

CaPr2In2Hg2 after structural relaxation (PBE-GGA, Alexandria).

Lattice parameters (Å, degrees): 10.036 10.036 10.036 28.63 28.63 28.63
Fractional positions:
Ca 0.000 0.000 0.000
Pr 0.128 0.128 0.128
Pr 0.872 0.872 0.872
In 0.258 0.258 0.258
In 0.742 0.742 0.742
Hg 0.398 0.398 0.398
Hg 0.602 0.602 0.602

Output
SG: No. 166
D(E_F): 2.81 states/eV per cell
Uncorrected energy: -2.86 eV/atom
DFT formation energy: -0.34 eV per atom

Record 18
# NdCuAgPt

NdCuAgPt after structural relaxation (PBE-GGA, Alexandria).

Lattice parameters (Å, degrees): 4.832 4.832 4.832 60.00 60.00 60.00
Fractional positions:
Nd 0.000 0.000 0.000
Cu 0.250 0.250 0.250
Ag 0.500 0.500 0.500
Pt 0.750 0.750 0.750

Output
SG: No. 216
D(E_F): 2.22 states/eV per cell
Uncorrected energy: -4.80 eV/atom
DFT formation energy: -0.37 eV per atom

Record 19
# Ba2UZnTe5

Ba2UZnTe5 after structural relaxation (PBE-GGA, Alexandria).

Lattice parameters (Å, degrees): 10.399 10.399 14.117 90.00 90.00 154.60
Fractional positions:
Ba 0.116 0.884 0.500
Ba 0.122 0.878 0.130
Ba 0.878 0.122 0.630
Ba 0.884 0.116 0.000
U 0.202 0.798 0.828
U 0.798 0.202 0.328
Zn 0.436 0.564 0.249
Zn 0.564 0.436 0.749
Te 0.052 0.948 0.855
Te 0.294 0.706 0.473
Te 0.306 0.694 0.179
Te 0.350 0.650 0.817
Te 0.498 0.502 0.086
Te 0.502 0.498 0.586
Te 0.650 0.350 0.317
Te 0.694 0.306 0.679
Te 0.706 0.294 0.973
Te 0.948 0.052 0.355

Output
SG: No. 36
D(E_F): 7.97 states/eV per cell
Energy relative to the elements, uncorrected: -9.9 eV per formula unit
Uncorrected energy: -4.67 eV/atom

Record 20
# InGePb

InGePb after structural relaxation (PBE-GGA, Alexandria).

Lattice parameters (Å, degrees): 4.721 5.086 7.037 90.00 109.50 90.00
Fractional positions:
In 0.095 0.250 0.190
In 0.905 0.750 0.810
Ge 0.264 0.750 0.511
Ge 0.736 0.250 0.489
Pb 0.391 0.250 0.796
Pb 0.609 0.750 0.204

Output
SG: No. 11
D(E_F): 2.02 states/eV per cell
Uncorrected energy: -3.54 eV/atom
DFT formation energy: 0.15 eV per atom
Offset from the most stable computed form: 0.0 kJ per mole of atoms